The following is a GGA-PBE calculation of an optimized crystal structure of PuTcIr2, from Alexandria.

POSCAR file:
```
PuTcIr2
1.0
3.993 0.000 0.000
0.000 3.993 0.000
0.000 0.000 4.129
Pu Tc Ir
1 1 2
Cartesian
0.000 0.000 0.000 Pu
1.996 1.996 0.000 Tc
0.000 1.996 2.064 Ir
1.996 0.000 2.064 Ir
```

Calculated values
The calculated total energy comes out at -10.815 eV per atom. The calculated volume comes out at 65.83 Å³/cell. As for the formation energy: -0.8 eV/f.u.